First-principles (GGA-PBE) data for a relaxed HfTaZnCu crystal, as listed in OQMD.

Calculated values
Uncorrected energy = -6.285 eV per atom
Energy above the most stable polymorph in this dataset = 0.00 kcal/mol of atoms
Energy of formation from the pure elements = 412 meV/atom
SG = F-43m, No. 216

a b c (Å): 4.608 4.608 4.608
angles (deg): 60.00 60.00 60.00
Positions (direct):
1 Cu 0.750 0.750 0.750
2 Hf 0.500 0.500 0.500
3 Ta 0.250 0.250 0.250
4 Zn 0.000 0.000 0.000



First-principles (GGA-PBE) data for a relaxed Nd2Os2F crystal, as listed in OQMD.

Calculated values
Uncorrected energy = -6.584 eV per atom
SG = P-3m1, No. 164

a b c (Å): 4.252 4.252 7.934
angles (deg): 90.00 90.00 120.00
Positions (direct):
1 F 0.000 0.000 0.000
2 Nd 0.667 0.333 0.320
3 Nd 0.333 0.667 0.680
4 Os 0.333 0.667 0.030
5 Os 0.667 0.333 0.970



First-principles (GGA-PBE) data for a relaxed DyTlTe3Au crystal, as listed in OQMD.

Calculated values
Uncorrected energy = -3.948 eV per atom
Energy above the most stable polymorph in this dataset = 0.44 kcal/mol of atoms
SG = P2_1/m, No. 11

a b c (Å): 8.840 4.209 10.936
angles (deg): 90.00 110.47 90.00
Positions (direct):
1 Au 0.587 0.750 0.112
2 Au 0.413 0.250 0.888
3 Dy 0.804 0.250 0.343
4 Dy 0.196 0.750 0.657
5 Te 0.756 0.250 0.049
6 Te 0.557 0.750 0.354
7 Te 0.065 0.750 0.359
8 Te 0.935 0.250 0.641
9 Te 0.443 0.250 0.646
10 Te 0.244 0.750 0.951
11 Tl 0.239 0.250 0.206
12 Tl 0.761 0.750 0.794



Q: Which value of uncorrected energy does entry 1 give?
A: -6.285 eV per atom



Copy entry 1 word for word.
First-principles (GGA-PBE) data for a relaxed HfTaZnCu crystal, as listed in OQMD.

Calculated values
Uncorrected energy = -6.285 eV per atom
Energy above the most stable polymorph in this dataset = 0.00 kcal/mol of atoms
Energy of formation from the pure elements = 412 meV/atom
SG = F-43m, No. 216

a b c (Å): 4.608 4.608 4.608
angles (deg): 60.00 60.00 60.00
Positions (direct):
1 Cu 0.750 0.750 0.750
2 Hf 0.500 0.500 0.500
3 Ta 0.250 0.250 0.250
4 Zn 0.000 0.000 0.000